Entry 1:
Crystalline NaTmHgSe3 at its relaxed geometry, computed with PBE.

Cell lengths 7.243, 7.243, 11.025 Å; angles 90.00, 90.00, 146.94 degrees
Sites, in units of the cell vectors:
Na  0.247  0.753  0.750
Na  0.753  0.247  0.250
Tm  0.000  0.000  0.000
Tm  0.000  0.000  0.500
Hg  0.457  0.543  0.250
Hg  0.543  0.457  0.750
Se  0.086  0.914  0.250
Se  0.361  0.639  0.047
Se  0.361  0.639  0.453
Se  0.639  0.361  0.547
Se  0.639  0.361  0.953
Se  0.914  0.086  0.750

Results
Its total magnetic moment is 0.01 μB per cell. The value obtained for the offset from the most stable computed form is 8 meV/atom.

Entry 2:
Crystalline NaHg3WSe4 at its relaxed geometry, computed with PBE.

Cell lengths 7.445, 7.445, 7.445 Å; angles 90.00, 90.00, 90.00 degrees
Sites, in units of the cell vectors:
Na  0.000  0.000  0.000
Hg  0.000  0.500  0.500
Hg  0.500  0.000  0.500
Hg  0.500  0.500  0.000
W  0.500  0.500  0.500
Se  0.316  0.316  0.316
Se  0.316  0.684  0.684
Se  0.684  0.316  0.684
Se  0.684  0.684  0.316

Results
The total energy comes out at -3.274 eV/atom. Its total magnetic moment is 0.01 μB per cell.

Entry 3:
Crystalline NaSmHg at its relaxed geometry, computed with PBE.

Cell lengths 4.957, 4.957, 4.957 Å; angles 60.00, 60.00, 60.00 degrees
Sites, in units of the cell vectors:
Na  0.000  0.000  0.000
Sm  0.250  0.250  0.250
Hg  0.750  0.750  0.750

Results
Its total magnetic moment is 0.52 μB per cell. The value obtained for the offset from the most stable computed form is 0 meV/atom.

Entry 4:
Crystalline NaSmHg at its relaxed geometry, computed with PBE.

Cell lengths 5.145, 5.145, 5.145 Å; angles 60.00, 60.00, 60.00 degrees
Sites, in units of the cell vectors:
Na  0.000  0.000  0.000
Sm  0.750  0.750  0.750
Hg  0.500  0.500  0.500

Results
Its total magnetic moment is 0.05 μB per cell. The value obtained for the offset from the most stable computed form is 8 meV/atom.

Entry 5:
Crystalline NaSrHg at its relaxed geometry, computed with PBE.

Cell lengths 5.406, 5.406, 5.406 Å; angles 60.00, 60.00, 60.00 degrees
Sites, in units of the cell vectors:
Na  0.000  0.000  0.000
Sr  0.500  0.500  0.500
Hg  0.250  0.250  0.250

Results
The value obtained for the offset from the most stable computed form is 0 meV/atom.

Entry 6:
Crystalline NaSrHg at its relaxed geometry, computed with PBE.

Cell lengths 5.516, 5.516, 5.516 Å; angles 60.00, 60.00, 60.00 degrees
Sites, in units of the cell vectors:
Na  0.000  0.000  0.000
Sr  0.750  0.750  0.750
Hg  0.500  0.500  0.500

Results
The value obtained for the offset from the most stable computed form is 257 meV/atom.

Entry 7:
Crystalline Na2Sr2Hg3 at its relaxed geometry, computed with PBE.

Cell lengths 9.312, 9.312, 9.312 Å; angles 34.21, 34.21, 34.21 degrees
Sites, in units of the cell vectors:
Na  0.000  0.000  0.000
Na  0.496  0.496  0.496
Sr  0.243  0.243  0.243
Sr  0.750  0.750  0.750
Hg  0.371  0.371  0.371
Hg  0.622  0.622  0.622
Hg  0.875  0.875  0.875

Results
The total energy comes out at -1.304 eV/atom.

Entry 8:
Crystalline NaSrHg6 at its relaxed geometry, computed with PBE.

Cell lengths 6.849, 6.849, 5.328 Å; angles 90.00, 90.00, 120.00 degrees
Sites, in units of the cell vectors:
Na  0.000  0.000  0.000
Sr  0.667  0.333  0.500
Hg  0.015  0.507  0.000
Hg  0.167  0.334  0.500
Hg  0.167  0.833  0.500
Hg  0.493  0.507  0.000
Hg  0.493  0.985  0.000
Hg  0.666  0.833  0.500

Results
The total energy comes out at -0.904 eV/atom.

- Number 1 is which compound?
  NaTmHgSe3